Entry 1:
UNbRe2: optimized geometry, PBE-GGA.

Summary:
symmetry: R-3m, No. 166
total magnetic moment: 0.000 μB/atom
E_form: 317 meV per atom

Cell and atoms, written as CIF:
```
data_UNbRe2
_chemical_formula_sum 'U1 Nb1 Re2'
_cell_length_a 2.9382
_cell_length_b 2.9382
_cell_length_c 9.5035
_cell_angle_alpha 81.11
_cell_angle_beta 81.11
_cell_angle_gamma 60.00
_space_group_name_H-M_alt 'P 1'
_space_group_IT_number 1
loop_
_space_group_symop_operation_xyz
'x,y,z'
loop_
_atom_site_label
_atom_site_fract_x
_atom_site_fract_y
_atom_site_fract_z
Re1 0.7564 0.7564 0.7308
Re2 0.2436 0.2436 0.2692
Nb1 0.5000 0.5000 0.5000
U1 0.0000 0.0000 0.0000
```

***

Entry 2:
UNb2Re: optimized geometry, PBE-GGA.

Summary:
offset from the most stable computed form: 0.076 eV per atom
symmetry: P4/mmm, No. 123
total magnetic moment: 0.242 μB/atom
E_form: 160 meV per atom

Cell and atoms, written as CIF:
```
data_UNb2Re
_chemical_formula_sum 'U1 Nb2 Re1'
_cell_length_a 3.2129
_cell_length_b 4.7562
_cell_length_c 4.7562
_cell_angle_alpha 90.00
_cell_angle_beta 90.00
_cell_angle_gamma 90.00
_space_group_name_H-M_alt 'P 1'
_space_group_IT_number 1
loop_
_space_group_symop_operation_xyz
'x,y,z'
loop_
_atom_site_label
_atom_site_fract_x
_atom_site_fract_y
_atom_site_fract_z
Re1 0.5000 0.0000 0.0000
Nb1 0.0000 0.0000 0.5000
Nb2 0.0000 0.5000 0.0000
U1 0.5000 0.5000 0.5000
```